Record 1
Below is a geometry-optimized SrPdO3 structure, with properties calculated at the GGA-PBE level.

spin magnetization	0.172	μB per atom
raw formation energy	-0.78	eV per atom

abc: 4.205 4.205 18.625
angles: 90.00 90.00 90.00
Space group I-4m2 (No. 119)
Symmetry-distinct sites (fractional):
Sr (0.000, 0.000, 0.000) x2
Sr (0.000, 0.500, 0.250) x2
Pd (0.000, 0.500, 0.669) x4
O (0.000, 0.000, 0.313) x4
O (0.000, 0.336, 0.102) x8

Record 2
Below is a geometry-optimized LiPaP2N6 structure, with properties calculated at the GGA-PBE level.

spin magnetization	0.000	μB per atom
raw formation energy	-0.51	eV per atom

abc: 10.467 9.577 5.401
angles: 90.00 109.14 90.00
Space group C2/c (No. 15)
Symmetry-distinct sites (fractional):
Li (0.000, 0.142, 0.250) x4
Pa (0.000, 0.373, 0.750) x4
P (0.209, 0.075, 0.734) x8
N (0.125, 0.429, 0.151) x8
N (0.138, 0.226, 0.663) x8
N (0.148, 0.007, 0.952) x8

Record 3
Below is a geometry-optimized SrReN3 structure, with properties calculated at the GGA-PBE level.

spin magnetization	0.000	μB per atom
raw formation energy	-0.27	eV per atom

abc: 3.991 6.606 7.477
angles: 65.43 74.94 72.48
Space group P1 (No. 1)
Symmetry-distinct sites (fractional):
Sr (0.000, 0.000, 0.000) x1
Sr (0.146, 0.355, 0.346) x1
Re (0.388, 0.452, 0.768) x1
Re (0.757, 0.767, 0.716) x1
N (0.270, 0.792, 0.664) x1
N (0.354, 0.267, 0.025) x1
N (0.552, 0.284, 0.608) x1
N (0.582, 0.677, 0.160) x1
N (0.653, 0.716, 0.977) x1
N (0.668, 0.116, 0.546) x1

Record 4
Below is a geometry-optimized YSi2Br structure, with properties calculated at the GGA-PBE level.

spin magnetization	0.000	μB per atom
energy relative to the lowest polymorph listed for this composition	1.0841	eV per atom
raw formation energy	0.36	eV per atom

abc: 7.110 7.110 7.110
angles: 90.00 90.00 90.00
Space group Fm-3m (No. 225)
Symmetry-distinct sites (fractional):
Y (0.000, 0.000, 0.000) x4
Si (0.250, 0.250, 0.250) x8
Br (0.000, 0.000, 0.500) x4

Record 5
Below is a geometry-optimized Zr4Cu3Au structure, with properties calculated at the GGA-PBE level.

formation energy	-0.2135	eV/atom
spin magnetization	0.000	μB per atom

abc: 3.273 4.204 10.747
angles: 90.00 90.00 90.00
Space group Pmm2 (No. 25)
Symmetry-distinct sites (fractional):
Zr (0.000, 0.000, 0.000) x1
Zr (0.000, 0.500, 0.295) x1
Zr (0.500, 0.000, 0.482) x1
Zr (0.500, 0.500, 0.810) x1
Cu (0.000, 0.500, 0.564) x1
Cu (0.500, 0.000, 0.216) x1
Cu (0.500, 0.500, 0.078) x1
Au (0.000, 0.000, 0.713) x1